## NaBiTe2Au (GGA-PBE)

Data for a geometry-optimized NaBiTe2Au structure.

```
data_NaBiTe2Au
_space_group_name_H-M_alt 'P 1'
_space_group_IT_number 1
_cell_length_a 7.5605
_cell_length_b 4.9193
_cell_length_c 8.7729
_cell_angle_alpha 90.00
_cell_angle_beta 98.00
_cell_angle_gamma 90.00
loop_
_space_group_symop_operation_xyz
'x,y,z'
loop_
_atom_site_label
_atom_site_type_symbol
_atom_site_fract_x
_atom_site_fract_y
_atom_site_fract_z
Na1 Na 0.0000 0.1523 0.2500
Na2 Na 0.0000 0.8477 0.7500
Bi1 Bi 0.5000 0.4342 0.2500
Bi2 Bi 0.5000 0.5658 0.7500
Te1 Te 0.2125 0.3221 0.9587
Te2 Te 0.2125 0.6779 0.4587
Te3 Te 0.7875 0.3221 0.5413
Te4 Te 0.7875 0.6779 0.0413
Au1 Au 0.5000 0.0000 0.0000
Au2 Au 0.5000 0.0000 0.5000
```

The total energy comes out at -3.24 eV/atom. For the spin magnetization, the calculation gives 0.000 μB per atom. The value obtained for the mass density is 7.0 g/cm3. The calculation puts the energy relative to the elements, uncorrected at -28.0 kJ/mol of atoms.

***

## NaThBiAu (GGA-PBE)

Data for a geometry-optimized NaThBiAu structure.

```
data_NaThBiAu
_space_group_name_H-M_alt 'P 1'
_space_group_IT_number 1
_cell_length_a 7.5397
_cell_length_b 7.5397
_cell_length_c 7.5397
_cell_angle_alpha 90.00
_cell_angle_beta 90.00
_cell_angle_gamma 90.00
loop_
_space_group_symop_operation_xyz
'x,y,z'
loop_
_atom_site_label
_atom_site_type_symbol
_atom_site_fract_x
_atom_site_fract_y
_atom_site_fract_z
Na1 Na 0.0000 0.0000 0.0000
Na2 Na 0.0000 0.5000 0.5000
Na3 Na 0.5000 0.0000 0.5000
Na4 Na 0.5000 0.5000 0.0000
Th1 Th 0.0000 0.0000 0.5000
Th2 Th 0.0000 0.5000 0.0000
Th3 Th 0.5000 0.0000 0.0000
Th4 Th 0.5000 0.5000 0.5000
Bi1 Bi 0.2500 0.2500 0.2500
Bi2 Bi 0.2500 0.7500 0.7500
Bi3 Bi 0.7500 0.2500 0.7500
Bi4 Bi 0.7500 0.7500 0.2500
Au1 Au 0.2500 0.2500 0.7500
Au2 Au 0.2500 0.7500 0.2500
Au3 Au 0.7500 0.2500 0.2500
Au4 Au 0.7500 0.7500 0.7500
```

The total energy comes out at -4.38 eV/atom. For the spin magnetization, the calculation gives 0.000 μB per atom. The value obtained for the formation energy is -1.6 eV per formula unit. The value obtained for the mass density is 10.2 g/cm3.

***

## Na2TlBiAu (GGA-PBE)

Data for a geometry-optimized Na2TlBiAu structure.

```
data_Na2TlBiAu
_space_group_name_H-M_alt 'P 1'
_space_group_IT_number 1
_cell_length_a 5.6035
_cell_length_b 5.6035
_cell_length_c 5.4026
_cell_angle_alpha 90.00
_cell_angle_beta 90.00
_cell_angle_gamma 90.00
loop_
_space_group_symop_operation_xyz
'x,y,z'
loop_
_atom_site_label
_atom_site_type_symbol
_atom_site_fract_x
_atom_site_fract_y
_atom_site_fract_z
Na1 Na 0.0000 0.5000 0.0000
Na2 Na 0.5000 0.0000 0.0000
Tl1 Tl 0.0000 0.0000 0.5000
Bi1 Bi 0.5000 0.5000 0.5000
Au1 Au 0.5000 0.5000 0.0000
```

The total energy comes out at -2.53 eV/atom. For the spin magnetization, the calculation gives 0.000 μB per atom. The value obtained for the formation energy is -0.5 eV per formula unit. The value obtained for the mass density is 6.4 g/cm3.

***

## NaTmBiAu (GGA-PBE)

Data for a geometry-optimized NaTmBiAu structure.

```
data_NaTmBiAu
_space_group_name_H-M_alt 'P 1'
_space_group_IT_number 1
_cell_length_a 7.3674
_cell_length_b 7.3674
_cell_length_c 7.3674
_cell_angle_alpha 90.00
_cell_angle_beta 90.00
_cell_angle_gamma 90.00
loop_
_space_group_symop_operation_xyz
'x,y,z'
loop_
_atom_site_label
_atom_site_type_symbol
_atom_site_fract_x
_atom_site_fract_y
_atom_site_fract_z
Na1 Na 0.0000 0.0000 0.0000
Na2 Na 0.0000 0.5000 0.5000
Na3 Na 0.5000 0.0000 0.5000
Na4 Na 0.5000 0.5000 0.0000
Tm1 Tm 0.0000 0.0000 0.5000
Tm2 Tm 0.0000 0.5000 0.0000
Tm3 Tm 0.5000 0.0000 0.0000
Tm4 Tm 0.5000 0.5000 0.5000
Bi1 Bi 0.2500 0.2500 0.2500
Bi2 Bi 0.2500 0.7500 0.7500
Bi3 Bi 0.7500 0.2500 0.7500
Bi4 Bi 0.7500 0.7500 0.2500
Au1 Au 0.2500 0.2500 0.7500
Au2 Au 0.2500 0.7500 0.2500
Au3 Au 0.7500 0.2500 0.2500
Au4 Au 0.7500 0.7500 0.7500
```

The total energy comes out at -3.79 eV/atom. For the spin magnetization, the calculation gives 0.000 μB per atom. The value obtained for the formation energy is -2.2 eV per formula unit. The value obtained for the mass density is 9.9 g/cm3.

***

## NaYBiAu (GGA-PBE)

Data for a geometry-optimized NaYBiAu structure.

```
data_NaYBiAu
_space_group_name_H-M_alt 'P 1'
_space_group_IT_number 1
_cell_length_a 7.4318
_cell_length_b 7.4318
_cell_length_c 7.4318
_cell_angle_alpha 90.00
_cell_angle_beta 90.00
_cell_angle_gamma 90.00
loop_
_space_group_symop_operation_xyz
'x,y,z'
loop_
_atom_site_label
_atom_site_type_symbol
_atom_site_fract_x
_atom_site_fract_y
_atom_site_fract_z
Na1 Na 0.0000 0.0000 0.0000
Na2 Na 0.0000 0.5000 0.5000
Na3 Na 0.5000 0.0000 0.5000
Na4 Na 0.5000 0.5000 0.0000
Y1 Y 0.0000 0.0000 0.5000
Y2 Y 0.0000 0.5000 0.0000
Y3 Y 0.5000 0.0000 0.0000
Y4 Y 0.5000 0.5000 0.5000
Bi1 Bi 0.2500 0.2500 0.2500
Bi2 Bi 0.2500 0.7500 0.7500
Bi3 Bi 0.7500 0.2500 0.7500
Bi4 Bi 0.7500 0.7500 0.2500
Au1 Au 0.2500 0.2500 0.7500
Au2 Au 0.2500 0.7500 0.2500
Au3 Au 0.7500 0.2500 0.2500
Au4 Au 0.7500 0.7500 0.7500
```

The total energy comes out at -4.32 eV/atom. For the spin magnetization, the calculation gives 0.000 μB per atom. The value obtained for the formation energy is -2.3 eV per formula unit. The value obtained for the mass density is 8.4 g/cm3.

***

## Na2YBiAu (GGA-PBE)

Data for a geometry-optimized Na2YBiAu structure.

```
data_Na2YBiAu
_space_group_name_H-M_alt 'P 1'
_space_group_IT_number 1
_cell_length_a 6.0924
_cell_length_b 6.0924
_cell_length_c 5.2134
_cell_angle_alpha 90.00
_cell_angle_beta 90.00
_cell_angle_gamma 90.00
loop_
_space_group_symop_operation_xyz
'x,y,z'
loop_
_atom_site_label
_atom_site_type_symbol
_atom_site_fract_x
_atom_site_fract_y
_atom_site_fract_z
Na1 Na 0.0000 0.5000 0.0000
Na2 Na 0.5000 0.0000 0.0000
Y1 Y 0.0000 0.0000 0.0000
Bi1 Bi 0.5000 0.5000 0.5000
Au1 Au 0.0000 0.0000 0.5000
```

The total energy comes out at -2.60 eV/atom. For the spin magnetization, the calculation gives 0.000 μB per atom. The value obtained for the formation energy is 3.3 eV per formula unit. The value obtained for the mass density is 4.6 g/cm3.